ScSbIO2, optimized geometry, DFT PBE; crystal system = tetragonal; DOS at the Fermi energy = 5.06 states/eV/f.u.; volume = 110 Å³ per cell; ΔE_f (raw) = -0.4608 eV per atom
1.0
4.162 0.000 0.000
0.000 4.162 0.000
0.000 0.000 6.349
Sc Sb I O
1 1 1 2
Cartesian
0.000 0.000 0.000
2.081 2.081 3.175
2.081 2.081 0.000
0.000 2.081 3.175
2.081 0.000 3.175

Tb5Pm3Sn2, optimized geometry, DFT PBE; formation energy from the elements = -0.082 eV/atom; crystal system = orthorhombic; DOS at the Fermi energy = 11.67 states/eV/f.u.; volume = 648 Å³ per cell
1.0
-6.430 7.822 3.219
6.430 -7.822 3.219
6.430 7.822 -3.219
Tb Pm Sn
10 6 4
Cartesian
1.270 2.574 0.000
3.249 7.822 -1.609
0.000 0.000 1.609
3.181 0.000 1.609
7.700 5.248 0.000
-1.270 2.574 3.219
3.249 7.822 1.609
0.000 0.000 4.828
3.181 0.000 4.828
5.159 5.248 3.219
4.796 3.458 0.000
6.430 0.000 1.609
4.796 -3.458 3.219
1.634 11.279 0.000
0.000 7.822 1.609
1.634 4.364 3.219
8.228 2.308 0.000
1.798 5.514 0.000
4.632 2.308 3.219
-1.798 5.514 3.219

SrNdIO6, optimized geometry, DFT PBE; crystal system = trigonal; DOS at the Fermi energy = 0.00 states/eV/f.u.; volume = 293 Å³ per cell; ΔE_f (raw) = -1.8432 eV per atom
1.0
5.829 0.000 0.000
-2.914 5.048 0.000
0.000 0.000 9.951
Sr Nd I O
2 2 2 12
Cartesian
0.000 0.000 0.000
0.000 0.000 4.976
0.000 3.365 2.488
2.914 1.683 7.464
0.000 3.365 7.464
2.914 1.683 2.488
-0.814 2.016 6.383
-1.575 3.335 8.544
0.814 2.016 8.544
-0.762 4.744 6.383
2.153 0.303 1.407
1.339 1.713 3.568
1.575 3.335 6.383
0.762 4.744 8.544
3.676 0.303 3.568
2.101 3.032 1.407
4.490 1.713 1.407
3.728 3.032 3.568

PmHo2Sb, optimized geometry, DFT PBE; crystal system = cubic; DOS at the Fermi energy = 4.48 states/eV/f.u.; energy above the lowest structure with this stoichiometry = 311 meV per atom; volume = 111 Å³ per cell; ΔE_f (raw) = -0.2464 eV per atom
1.0
0.000 3.813 3.813
3.813 0.000 3.813
3.813 3.813 0.000
Pm Ho Sb
1 2 1
Cartesian
0.000 0.000 0.000
1.907 1.907 1.907
5.720 5.720 5.720
3.813 3.813 3.813

Na3GaBi, optimized geometry, DFT PBE; formation energy from the elements = 0.147 eV/atom; crystal system = cubic; DOS at the Fermi energy = 5.00 states/eV/f.u.; energy above the lowest structure with this stoichiometry = 252 meV per atom; volume = 210 Å³ per cell
1.0
5.946 0.000 0.000
0.000 5.946 0.000
0.000 0.000 5.946
Na Ga Bi
3 1 1
Cartesian
0.000 0.000 2.973
0.000 2.973 0.000
2.973 0.000 0.000
2.973 2.973 2.973
0.000 0.000 0.000

GaReOF2, optimized geometry, DFT PBE; crystal system = tetragonal; DOS at the Fermi energy = 2.36 states/eV/f.u.; energy above the lowest structure with this stoichiometry = 0 meV per atom; volume = 71 Å³ per cell; ΔE_f (raw) = -1.0216 eV per atom
1.0
4.325 0.000 0.000
0.000 4.325 0.000
0.000 0.000 3.822
Ga Re O F
1 1 1 2
Cartesian
0.000 0.000 0.000
2.163 2.163 1.911
2.163 2.163 0.000
0.000 2.163 1.911
2.163 0.000 1.911